The following is a PBE calculation of crystalline TiMoP2Cl at its relaxed geometry, from Alexandria via LeMat-Bulk.

Structure (CIF):
```
data_TiMoP2Cl
_chemical_formula_sum 'Ti1 Mo1 P2 Cl1'
_cell_length_a 4.6470
_cell_length_b 4.6470
_cell_length_c 4.8342
_cell_angle_alpha 90.00
_cell_angle_beta 90.00
_cell_angle_gamma 90.00
_space_group_name_H-M_alt 'P 1'
_space_group_IT_number 1
_space_group_name_Hall 'P 1'
loop_
_atom_site_label
_atom_site_fract_x
_atom_site_fract_y
_atom_site_fract_z
_atom_site_occupancy
Ti1 0.5000 0.5000 0.5000 1
Cl1 0.0000 0.0000 0.5000 1
P1 0.5000 0.0000 0.0000 1
P2 0.0000 0.5000 0.0000 1
Mo1 0.0000 0.0000 0.0000 1
```

ΔE to the lowest computed polymorph (meV per atom): 35

The following is a PBE calculation of crystalline TiMoPCl2 at its relaxed geometry, from Alexandria via LeMat-Bulk.

Structure (CIF):
```
data_TiMoPCl2
_chemical_formula_sum 'Ti1 Mo1 P1 Cl2'
_cell_length_a 4.7643
_cell_length_b 4.7643
_cell_length_c 4.8311
_cell_angle_alpha 90.00
_cell_angle_beta 90.00
_cell_angle_gamma 90.00
_space_group_name_H-M_alt 'P 1'
_space_group_IT_number 1
_space_group_name_Hall 'P 1'
loop_
_atom_site_label
_atom_site_fract_x
_atom_site_fract_y
_atom_site_fract_z
_atom_site_occupancy
Mo1 0.0000 0.0000 0.0000 1
Cl1 0.0000 0.5000 0.0000 1
Cl2 0.5000 0.0000 0.0000 1
Ti1 0.5000 0.5000 0.5000 1
P1 0.0000 0.0000 0.5000 1
```

ΔE to the lowest computed polymorph (meV per atom): 284

The following is a PBE calculation of crystalline TiMoPCl2 at its relaxed geometry, from Alexandria via LeMat-Bulk.

Structure (CIF):
```
data_TiMoPCl2
_chemical_formula_sum 'Ti1 Mo1 P1 Cl2'
_cell_length_a 4.5994
_cell_length_b 4.5994
_cell_length_c 5.1469
_cell_angle_alpha 90.00
_cell_angle_beta 90.00
_cell_angle_gamma 90.00
_space_group_name_H-M_alt 'P 1'
_space_group_IT_number 1
_space_group_name_Hall 'P 1'
loop_
_atom_site_label
_atom_site_fract_x
_atom_site_fract_y
_atom_site_fract_z
_atom_site_occupancy
P1 0.0000 0.0000 0.5000 1
Cl1 0.5000 0.0000 0.0000 1
Cl2 0.0000 0.5000 0.0000 1
Mo1 0.5000 0.5000 0.5000 1
Ti1 0.0000 0.0000 0.0000 1
```

ΔE to the lowest computed polymorph (meV per atom): 0